[1]
meta-GGA SCAN CaHgP2Cl, single point on PBEsol structure; mass density = 3.85 Mg/m³; formation energy (no corrections) = 270 meV/atom
1.0
5.034 0.000 0.000
0.000 5.384 0.000
0.000 0.000 5.384
Hg P Ca Cl
1 2 1 1
Direct
0.500 0.500 0.500
0.000 0.000 0.500
0.000 0.500 0.000
0.000 0.000 0.000
0.500 0.000 0.000

=====

[2]
meta-GGA SCAN Ca3ICl, single point on PBEsol structure; mass density = 2.89 Mg/m³; formation energy (no corrections) = -570 meV/atom
1.0
5.458 0.000 0.000
0.000 5.458 0.000
0.000 0.000 5.458
Ca Cl I
3 1 1
Direct
0.500 0.000 0.000
0.000 0.500 0.000
0.000 0.000 0.500
0.000 0.000 0.000
0.500 0.500 0.500

=====

[3]
meta-GGA SCAN CaICl2, single point on PBEsol structure; mass density = 3.87 Mg/m³; formation energy (no corrections) = -1242 meV/atom
1.0
-3.094 0.887 -4.140
-3.435 -3.653 -1.537
-5.140 0.780 0.687
I Ca Cl
1 1 2
Direct
0.500 0.500 0.500
0.000 0.000 0.000
0.750 0.750 0.750
0.250 0.250 0.250

=====

[4]
meta-GGA SCAN CaTeI2Cl, single point on PBEsol structure; mass density = 4.47 Mg/m³; formation energy (no corrections) = -256 meV/atom
1.0
5.515 0.000 0.000
0.000 5.515 0.000
0.000 0.000 5.582
Te Ca I Cl
1 1 2 1
Direct
0.000 0.000 0.500
0.500 0.500 0.500
0.500 0.000 0.000
0.000 0.500 0.000
0.000 0.000 0.000

=====

[5]
meta-GGA SCAN CaInCl2, single point on PBEsol structure; mass density = 3.78 Mg/m³; formation energy (no corrections) = -906 meV/atom
1.0
5.194 0.000 0.000
2.597 4.498 0.000
2.597 1.499 4.241
Cl Ca In
2 1 1
Direct
0.000 0.000 0.000
0.250 0.250 0.250
0.500 0.500 0.500
0.750 0.750 0.750

=====

[6]
meta-GGA SCAN CaInCl3, single point on PBEsol structure; mass density = 2.97 Mg/m³; formation energy (no corrections) = -1896 meV/atom
1.0
-1.355 -1.428 -4.885
-2.340 -4.314 1.910
-4.519 2.662 0.475
Ca Cl In
1 3 1
Direct
0.000 0.000 0.000
0.000 0.500 0.000
0.500 0.000 0.000
0.000 0.000 0.500
0.500 0.500 0.500

=====

[7]
meta-GGA SCAN CaInCl2, single point on PBEsol structure; mass density = 3.77 Mg/m³; formation energy (no corrections) = -1288 meV/atom
1.0
4.135 0.000 0.000
0.000 4.135 0.000
-2.068 -2.068 5.815
Cl Ca In
2 1 1
Direct
0.000 0.000 0.000
0.750 0.250 0.500
0.250 0.750 0.500
0.500 0.500 0.000

=====

[8]
meta-GGA SCAN CaInCl3, single point on PBEsol structure; mass density = 2.79 Mg/m³; formation energy (no corrections) = -1067 meV/atom
1.0
-2.656 -4.676 0.164
4.677 -2.659 -0.072
0.144 0.107 5.378
In Cl Ca
1 3 1
Direct
0.000 0.000 0.000
0.500 0.000 0.000
0.000 0.000 0.500
0.000 0.500 0.000
0.500 0.500 0.500

=====

[9]
meta-GGA SCAN CaIn2NCl, single point on PBEsol structure; mass density = 3.47 Mg/m³; formation energy (no corrections) = 728 meV/atom
1.0
5.127 0.000 0.000
0.000 5.459 0.000
0.000 0.000 5.459
In Ca Cl N
2 1 1 1
Direct
0.000 0.500 0.000
0.000 0.000 0.500
0.500 0.000 0.000
0.000 0.000 0.000
0.500 0.500 0.500

=====

[10]
meta-GGA SCAN CaInTcCl2, single point on PBEsol structure; mass density = 4.44 Mg/m³; formation energy (no corrections) = -294 meV/atom
1.0
4.748 0.000 0.000
0.000 4.748 0.000
0.000 0.000 5.368
Tc Cl Ca In
1 2 1 1
Direct
0.000 0.000 0.000
0.500 0.000 0.000
0.000 0.500 0.000
0.500 0.500 0.500
0.000 0.000 0.500

=====

[11]
meta-GGA SCAN CaIrCl2, single point on PBEsol structure; mass density = 6.29 Mg/m³; formation energy (no corrections) = -513 meV/atom
1.0
3.372 0.000 0.000
1.686 2.920 0.000
1.686 0.973 8.131
Ca Cl Ir
1 2 1
Direct
0.500 0.500 0.500
0.093 0.093 0.720
0.907 0.907 0.280
0.000 0.000 0.000

=====

[12]
meta-GGA SCAN KCa2Cl, single point on PBEsol structure; mass density = 1.70 Mg/m³; formation energy (no corrections) = -739 meV/atom
1.0
-2.338 -1.409 2.683
3.885 -0.098 0.604
-0.514 10.352 4.989
Cl Ca K
1 2 1
Direct
0.500 0.000 0.500
0.000 0.000 0.311
0.000 0.000 0.689
0.500 0.000 0.000